Sr2CaRu | meta-GGA SCAN | single point on PBEsol structure

a = 5.3937 Å, b = 5.3937 Å, c = 5.3937 Å
α = 60.00°, β = 60.00°, γ = 60.00°
Last column: nearest neighbours and their distance in Å.
Sites, in units of the cell vectors:
Sr 0.0000 0.0000 0.0000  4 Ca 3.30, 4 Sr 3.30
Sr 0.2500 0.2500 0.2500  4 Ru 3.30, 4 Sr 3.30
Ca 0.7500 0.7500 0.7500  4 Ru 3.30, 4 Sr 3.30
Ru 0.5000 0.5000 0.5000  4 Ca 3.30, 4 Sr 3.30

## Properties
uncorrected energy = -87.01 eV per cell
D(E_F) = 1.49 states/eV/f.u.
M_tot = 0.0 μB/f.u.
space-group type = F-43m, No. 216
mass density = 4.74 g cm⁻³
ΔH_f (0 K) = 2.03 eV per formula unit
energy relative to the lowest polymorph listed for this composition = 185 meV/atom